This record from the Open Quantum Materials Database describes an optimized crystal structure of GdZr2O4. The functional is PBE.

Values from the calculation:
**Total moment**: 0.00 Bohr magnetons per cell
**VASP energy**: -122.35 eV per cell

Unit cell a=6.576 b=6.576 c=6.576 alpha=119.99 beta=90.02 gamma=119.99
Positions (direct):
Gd  0.000  0.000  0.000
Gd  0.750  0.500  0.250
O  0.152  0.768  0.384
O  0.616  0.232  0.384
O  0.616  0.768  0.384
O  0.134  0.268  0.402
O  0.616  0.232  0.848
O  0.134  0.732  0.866
O  0.134  0.268  0.866
O  0.598  0.732  0.866
Zr  0.375  0.750  0.125
Zr  0.375  0.250  0.625
Zr  0.875  0.250  0.625
Zr  0.375  0.750  0.625



This record from the Open Quantum Materials Database describes an optimized crystal structure of Zn2Sn2Sb3N. The functional is PBE.

Values from the calculation:
**VASP energy**: -30.65 eV per cell

Unit cell a=7.178 b=7.178 c=5.975 alpha=113.67 beta=113.67 gamma=50.06
Positions (direct):
N  0.875  0.125  0.000
Sb  0.627  0.865  0.291
Sb  0.362  0.638  0.500
Sb  0.135  0.373  0.709
Sn  0.563  0.210  0.099
Sn  0.790  0.437  0.901
Zn  0.175  0.027  0.288
Zn  0.973  0.825  0.712



This record from the Open Quantum Materials Database describes an optimized crystal structure of KMgTaSe3. The functional is PBE.

Values from the calculation:
**Total moment**: 3.47 Bohr magnetons per cell
**VASP energy**: -59.87 eV per cell

Unit cell a=7.889 b=7.889 c=10.334 alpha=90.00 beta=90.00 gamma=151.54
Last column: magnetic moment on the atom in μB.
Positions (direct):
K  0.751  0.249  0.250  0.01
K  0.249  0.751  0.750  0.01
Mg  0.035  0.965  0.250  0.00
Mg  0.965  0.035  0.750  0.00
Se  0.121  0.879  0.042  0.02
Se  0.430  0.570  0.250  0.01
Se  0.121  0.879  0.458  0.02
Se  0.879  0.121  0.542  0.02
Se  0.570  0.430  0.750  0.01
Se  0.879  0.121  0.958  0.02
Ta  0.500  0.500  0.000  1.06
Ta  0.500  0.500  0.500  1.05



This record from the Open Quantum Materials Database describes an optimized crystal structure of ScInNiSe3. The functional is PBE.

Values from the calculation:
**Total moment**: 0.00 Bohr magnetons per cell
**VASP energy**: -120.34 eV per cell

Unit cell a=8.916 b=3.828 c=14.801 alpha=90.00 beta=90.00 gamma=90.00
Positions (direct):
In  0.906  0.250  0.189
In  0.406  0.250  0.311
In  0.594  0.750  0.689
In  0.094  0.750  0.811
Ni  0.698  0.750  0.156
Ni  0.198  0.750  0.344
Ni  0.802  0.250  0.656
Ni  0.302  0.250  0.844
Sc  0.330  0.750  0.032
Sc  0.830  0.750  0.468
Sc  0.170  0.250  0.532
Sc  0.670  0.250  0.968
Se  0.848  0.750  0.025
Se  0.501  0.250  0.119
Se  0.140  0.750  0.190
Se  0.640  0.750  0.310
Se  0.001  0.250  0.381
Se  0.348  0.750  0.475
Se  0.652  0.250  0.525
Se  0.999  0.750  0.619
Se  0.360  0.250  0.690
Se  0.860  0.250  0.810
Se  0.499  0.750  0.881
Se  0.152  0.250  0.975



This record from the Open Quantum Materials Database describes an optimized crystal structure of ErAgSnTeS2. The functional is PBE.

Values from the calculation:
**Total moment**: 0.00 Bohr magnetons per cell
**VASP energy**: -55.46 eV per cell

Unit cell a=7.198 b=7.198 c=11.128 alpha=90.00 beta=90.00 gamma=147.44
Positions (direct):
Ag  0.021  0.979  0.250
Ag  0.979  0.021  0.750
Er  0.500  0.500  0.000
Er  0.500  0.500  0.500
S  0.125  0.875  0.064
S  0.125  0.875  0.436
S  0.875  0.125  0.564
S  0.875  0.125  0.936
Sn  0.706  0.294  0.250
Sn  0.294  0.706  0.750
Te  0.382  0.618  0.250
Te  0.618  0.382  0.750



This record from the Open Quantum Materials Database describes an optimized crystal structure of LaTmOs. The functional is PBE.

Values from the calculation:
**Total moment**: 0.00 Bohr magnetons per cell
**Energy of formation**: 0.58 eV per atom

Unit cell a=4.749 b=4.749 c=4.749 alpha=60.00 beta=60.00 gamma=60.00
Positions (direct):
La  0.250  0.250  0.250
Os  0.750  0.750  0.750
Tm  0.000  0.000  0.000



This record from the Open Quantum Materials Database describes an optimized crystal structure of ErSiB4. The functional is PBE.

Values from the calculation:
**Total moment**: 0.01 Bohr magnetons per cell
**VASP energy**: -36.73 eV per cell

Unit cell a=3.087 b=3.087 c=7.310 alpha=90.00 beta=90.00 gamma=120.00
Positions (direct):
B  0.667  0.333  0.226
B  0.333  0.667  0.226
B  0.667  0.333  0.774
B  0.333  0.667  0.774
Er  0.000  0.000  0.500
Si  0.000  0.000  0.000



This record from the Open Quantum Materials Database describes an optimized crystal structure of SrCoNiSe3. The functional is PBE.

Values from the calculation:
**Total moment**: 0.10 Bohr magnetons per cell
**VASP energy**: -57.38 eV per cell

Unit cell a=6.838 b=6.838 c=9.589 alpha=90.00 beta=90.00 gamma=32.02
Positions (direct):
Co  0.000  0.000  0.000
Co  0.000  0.000  0.500
Ni  0.463  0.463  0.250
Ni  0.537  0.537  0.750
Se  0.377  0.377  0.036
Se  0.065  0.065  0.250
Se  0.377  0.377  0.464
Se  0.623  0.623  0.536
Se  0.935  0.935  0.750
Se  0.623  0.623  0.964
Sr  0.759  0.759  0.250
Sr  0.241  0.241  0.750



This record from the Open Quantum Materials Database describes an optimized crystal structure of CoBiAu. The functional is PBE.

Values from the calculation:
**Total moment**: 1.06 Bohr magnetons per cell
**VASP energy**: -13.78 eV per cell

Unit cell a=4.411 b=4.411 c=4.411 alpha=60.00 beta=60.00 gamma=60.00
Positions (direct):
Au  0.250  0.250  0.250
Bi  0.750  0.750  0.750
Co  0.000  0.000  0.000



This record from the Open Quantum Materials Database describes an optimized crystal structure of TbEr2Sb4. The functional is PBE.

Values from the calculation:
**Total moment**: 0.00 Bohr magnetons per cell
**VASP energy**: -32.55 eV per cell

Unit cell a=8.584 b=8.584 c=8.584 alpha=141.57 beta=141.57 gamma=55.48
Positions (direct):
Er  0.394  0.394  0.000
Er  0.606  0.606  0.000
Sb  0.202  0.202  0.000
Sb  0.798  0.798  0.000
Sb  0.500  0.000  0.500
Sb  0.000  0.500  0.500
Tb  0.000  0.000  0.000



This record from the Open Quantum Materials Database describes an optimized crystal structure of NbNi2Os. The functional is PBE.

Values from the calculation:
**Total moment**: 0.89 Bohr magnetons per cell
**Energy of formation**: 0.03 eV per atom

Unit cell a=4.279 b=4.279 c=4.279 alpha=60.00 beta=60.00 gamma=60.00
Last column: magnetic moment on the atom in μB.
Positions (direct):
Nb  0.750  0.750  0.750  -0.06
Ni  0.000  0.000  0.000  0.08
Ni  0.250  0.250  0.250  0.55
Os  0.500  0.500  0.500  0.35



This record from the Open Quantum Materials Database describes an optimized crystal structure of Gd3Bi2N. The functional is PBE.

Values from the calculation:
**Total moment**: 0.01 Bohr magnetons per cell
**VASP energy**: -35.55 eV per cell

Unit cell a=3.958 b=3.958 c=11.123 alpha=90.00 beta=90.00 gamma=120.00
Positions (direct):
Bi  0.333  0.667  0.312
Bi  0.667  0.333  0.688
Gd  0.667  0.333  0.114
Gd  0.000  0.000  0.500
Gd  0.333  0.667  0.886
N  0.000  0.000  0.000



This record from the Open Quantum Materials Database describes an optimized crystal structure of NbSiGe. The functional is PBE.

Values from the calculation:
**Total moment**: 0.00 Bohr magnetons per cell
**VASP energy**: -19.03 eV per cell

Unit cell a=4.358 b=4.358 c=4.358 alpha=60.00 beta=60.00 gamma=60.00
Positions (direct):
Ge  0.500  0.500  0.500
Nb  0.250  0.250  0.250
Si  0.000  0.000  0.000



This record from the Open Quantum Materials Database describes an optimized crystal structure of PaPb. The functional is PBE.

Values from the calculation:
**Total moment**: 1.00 Bohr magnetons per cell
**VASP energy**: -10.83 eV per cell

Unit cell a=4.983 b=4.983 c=4.983 alpha=60.00 beta=60.00 gamma=60.00
Last column: magnetic moment on the atom in μB.
Positions (direct):
Pa  0.000  0.000  0.000  0.89
Pb  0.250  0.250  0.250  -0.03



This record from the Open Quantum Materials Database describes an optimized crystal structure of RbMgNbNi. The functional is PBE.

Values from the calculation:
**Total moment**: 0.00 Bohr magnetons per cell
**VASP energy**: -13.56 eV per cell

Unit cell a=4.852 b=4.852 c=4.852 alpha=60.00 beta=60.00 gamma=60.00
Positions (direct):
Mg  0.750  0.750  0.750
Nb  0.250  0.250  0.250
Ni  0.500  0.500  0.500
Rb  0.000  0.000  0.000



This record from the Open Quantum Materials Database describes an optimized crystal structure of Ta3Te4Se2. The functional is PBE.

Values from the calculation:
**Total moment**: 0.01 Bohr magnetons per cell
**VASP energy**: -58.56 eV per cell

Unit cell a=9.893 b=9.893 c=6.303 alpha=93.33 beta=93.33 gamma=20.88
Positions (direct):
Se  0.115  0.115  0.237
Se  0.885  0.885  0.763
Ta  0.000  0.000  0.000
Ta  0.681  0.681  0.477
Ta  0.319  0.319  0.523
Te  0.785  0.785  0.201
Te  0.447  0.447  0.289
Te  0.553  0.553  0.711
Te  0.215  0.215  0.799



This record from the Open Quantum Materials Database describes an optimized crystal structure of La2GdNi9. The functional is PBE.

Values from the calculation:
**Total moment**: 0.00 Bohr magnetons per cell
**Energy of formation**: -0.27 eV per atom

Unit cell a=5.163 b=5.163 c=8.295 alpha=90.00 beta=90.00 gamma=122.78
Positions (direct):
Gd  0.000  0.000  0.500
La  0.500  0.500  0.213
La  0.500  0.500  0.787
Ni  0.000  0.000  0.000
Ni  0.500  0.000  0.000
Ni  0.000  0.500  0.000
Ni  0.806  0.194  0.244
Ni  0.194  0.806  0.244
Ni  0.500  0.000  0.500
Ni  0.000  0.500  0.500
Ni  0.806  0.194  0.756
Ni  0.194  0.806  0.756



This record from the Open Quantum Materials Database describes an optimized crystal structure of Ag2PdF6. The functional is PBE.

Values from the calculation:
**VASP energy**: -66.36 eV per cell

Unit cell a=4.975 b=4.975 c=10.341 alpha=90.00 beta=90.00 gamma=90.00
Positions (direct):
Ag  0.500  0.500  0.166
Ag  0.000  0.000  0.334
Ag  0.000  0.000  0.666
Ag  0.500  0.500  0.834
F  0.280  0.280  0.000
F  0.720  0.720  0.000
F  0.813  0.187  0.145
F  0.187  0.813  0.145
F  0.313  0.313  0.355
F  0.687  0.687  0.355
F  0.780  0.220  0.500
F  0.220  0.780  0.500
F  0.313  0.313  0.645
F  0.687  0.687  0.645
F  0.813  0.187  0.855
F  0.187  0.813  0.855
Pd  0.000  0.000  0.000
Pd  0.500  0.500  0.500



This record from the Open Quantum Materials Database describes an optimized crystal structure of LuZn2Ga. The functional is PBE.

Values from the calculation:
**Total moment**: 0.00 Bohr magnetons per cell
**VASP energy**: -11.11 eV per cell

Unit cell a=4.662 b=4.662 c=4.662 alpha=60.00 beta=60.00 gamma=60.00
Positions (direct):
Ga  0.500  0.500  0.500
Lu  0.250  0.250  0.250
Zn  0.000  0.000  0.000
Zn  0.750  0.750  0.750



This record from the Open Quantum Materials Database describes an optimized crystal structure of AcAl9Co2. The functional is PBE.

Values from the calculation:
**Total moment**: 0.00 Bohr magnetons per cell
**VASP energy**: -57.15 eV per cell

Unit cell a=7.857 b=7.857 c=3.947 alpha=90.00 beta=90.00 gamma=120.00
Positions (direct):
Ac  0.000  0.000  0.000
Al  0.500  0.000  0.000
Al  0.000  0.500  0.000
Al  0.500  0.500  0.000
Al  0.428  0.214  0.500
Al  0.786  0.214  0.500
Al  0.214  0.428  0.500
Al  0.786  0.572  0.500
Al  0.214  0.786  0.500
Al  0.572  0.786  0.500
Co  0.667  0.333  0.000
Co  0.333  0.667  0.000



This record from the Open Quantum Materials Database describes an optimized crystal structure of NpZn. The functional is PBE.

Values from the calculation:
**Total moment**: 2.86 Bohr magnetons per cell
**Energy of formation**: 0.00 eV per atom

Unit cell a=8.220 b=6.603 c=3.989 alpha=90.00 beta=90.00 gamma=98.96
Positions (direct):
Np  0.375  0.292  0.000
Np  0.915  0.565  0.000
Np  0.212  0.687  0.000
Np  0.010  0.369  0.500
Np  0.308  0.490  0.500
Np  0.848  0.764  0.500
Zn  0.022  0.043  0.000
Zn  0.720  0.109  0.000
Zn  0.576  0.707  0.000
Zn  0.201  0.012  0.500
Zn  0.646  0.349  0.500
Zn  0.502  0.947  0.500



This record from the Open Quantum Materials Database describes an optimized crystal structure of LaTmHf. The functional is PBE.

Values from the calculation:
**Total moment**: 1.96 Bohr magnetons per cell
**Energy of formation**: 0.82 eV per atom

Unit cell a=5.219 b=5.219 c=5.219 alpha=60.00 beta=60.00 gamma=60.00
Positions (direct):
Hf  0.000  0.000  0.000
La  0.250  0.250  0.250
Tm  0.750  0.750  0.750



This record from the Open Quantum Materials Database describes an optimized crystal structure of Tm4TlSbC2. The functional is PBE.

Values from the calculation:
**Total moment**: 0.01 Bohr magnetons per cell
**VASP energy**: -47.28 eV per cell

Unit cell a=3.580 b=3.580 c=15.525 alpha=90.00 beta=90.00 gamma=120.00
Positions (direct):
C  0.667  0.333  0.258
C  0.667  0.333  0.742
Sb  0.000  0.000  0.500
Tl  0.333  0.667  0.000
Tm  0.000  0.000  0.171
Tm  0.333  0.667  0.340
Tm  0.333  0.667  0.660
Tm  0.000  0.000  0.829



This record from the Open Quantum Materials Database describes an optimized crystal structure of TbLuPu. The functional is PBE.

Values from the calculation:
**Total moment**: 6.46 Bohr magnetons per cell
**Energy of formation**: 0.80 eV per atom

Unit cell a=5.331 b=5.331 c=5.331 alpha=60.00 beta=60.00 gamma=60.00
Last column: magnetic moment on the atom in μB.
Positions (direct):
Lu  0.000  0.000  0.000  0.29
Pu  0.250  0.250  0.250  5.48
Tb  0.750  0.750  0.750  0.17